PmCoRh2 | PBE-GGA | relaxed

Output
* crystal system: tetragonal
* energy: -6.7981 eV/atom

Lattice parameters (Å, degrees): 4.149 4.149 3.923 90.00 90.00 90.00
Space group P4/mmm (No. 123)
One atom of each set of equivalent atoms:
Pm: 0.000 0.000 0.000 [1 per cell]
Co: 0.500 0.500 0.000 [1 per cell]
Rh: 0.000 0.500 0.500 [2 per cell]

=====

Pm12Ni2Sn5 | PBE-GGA | relaxed

Output
* crystal system: monoclinic
* energy: -5.0140 eV/atom

Lattice parameters (Å, degrees): 17.612 7.615 9.839 90.00 105.54 90.00
Space group C2/m (No. 12)
One atom of each set of equivalent atoms:
Pm: 0.001 0.000 0.256 [4 per cell]
Pm: 0.003 0.500 0.829 [4 per cell]
Pm: 0.151 0.255 0.577 [8 per cell]
Pm: 0.155 0.241 0.078 [8 per cell]
Ni: 0.000 0.171 0.000 [4 per cell]
Sn: 0.000 0.500 0.500 [2 per cell]
Sn: 0.191 0.000 0.836 [4 per cell]
Sn: 0.194 0.000 0.358 [4 per cell]

=====

NdSc3Fe | PBE-GGA | relaxed

Output
* crystal system: cubic
* energy: -6.4572 eV/atom

Lattice parameters (Å, degrees): 4.957 4.957 4.957 90.00 90.00 90.00
Space group Pm-3m (No. 221)
One atom of each set of equivalent atoms:
Nd: 0.000 0.000 0.000 [1 per cell]
Sc: 0.000 0.500 0.500 [3 per cell]
Fe: 0.500 0.500 0.500 [1 per cell]

=====

CeCo2W | PBE-GGA | relaxed

Output
* crystal system: trigonal
* energy: -8.2209 eV/atom

Lattice parameters (Å, degrees): 4.0953 4.0953 14.5315 90.00 90.00 120.00
Space group R-3m (No. 166, hexagonal axes)
One atom of each set of equivalent atoms:
Ce: 0.0000 0.0000 0.0000 [3 per cell]
Co: 0.0000 0.0000 0.2074 [6 per cell]
W: 0.0000 0.0000 0.5000 [3 per cell]